Record 1
The following is a DFT calculation (PBE-GGA) of NaPmTeO after structural relaxation.

As for the space group: Pmc2_1. As for the energy above the most stable polymorph in this dataset: 224 meV/atom. The electronic total energy comes out at -42.92 eV for the cell shown. The mass density is 4.299 g cm⁻³. As for the total moment: 0.000 μB per atom.

abc: 4.6070 7.7168 6.7715
angles: 90.00 90.00 90.00
Last column: nearest neighbours and their distance in Å.
Element x y z (fractional)
Na (0.0000, 0.2752, 0.1258)  2 O 2.63
Na (0.0000, 0.7248, 0.6258)  2 O 2.63
O (0.5000, 0.1196, 0.1851)  2 Pm 2.18-2.19
O (0.5000, 0.8804, 0.6851)  2 Pm 2.18-2.19
Pm (0.5000, 0.8841, 0.0080)  2 O 2.18-2.19
Pm (0.5000, 0.1159, 0.5080)  2 O 2.18-2.19
Te (0.0000, 0.6773, 0.1722)  2 Pm 3.01, 2 Na 3.09-3.12
Te (0.0000, 0.3227, 0.6722)  2 Pm 3.01, 2 Na 3.09-3.12



Record 2
The following is a DFT calculation (PBE-GGA) of NaPmTeO after structural relaxation.

As for the space group: P2_1/c. As for the energy above the most stable polymorph in this dataset: 36 meV/atom. The electronic total energy comes out at -88.85 eV for the cell shown. The mass density is 5.304 g cm⁻³. As for the total moment: 0.000 μB per atom.

abc: 7.5810 7.7582 6.7458
angles: 90.00 100.44 90.00
Last column: nearest neighbours and their distance in Å.
Element x y z (fractional)
Na (0.8857, 0.2889, 0.0253)  1 O 2.47
Na (0.1143, 0.7889, 0.4747)  1 O 2.47
Na (0.8857, 0.2111, 0.5253)  1 O 2.47
Na (0.1143, 0.7111, 0.9747)  1 O 2.47
O (0.5869, 0.3462, 0.1066)  3 Pm 2.26-2.37, 1 Na 2.47
O (0.4131, 0.8462, 0.3934)  3 Pm 2.26-2.37, 1 Na 2.47
O (0.5869, 0.1538, 0.6066)  3 Pm 2.26-2.37, 1 Na 2.47
O (0.4131, 0.6538, 0.8934)  3 Pm 2.26-2.37, 1 Na 2.47
Pm (0.5387, 0.6241, 0.2220)  3 O 2.26-2.37
Pm (0.4613, 0.1241, 0.2780)  3 O 2.26-2.37
Pm (0.5387, 0.8759, 0.7220)  3 O 2.26-2.37
Pm (0.4613, 0.3759, 0.7780)  3 O 2.26-2.37
Te (0.8054, 0.9271, 0.1608)  4 Na 3.05-3.31, 3 Pm 3.18-3.29
Te (0.1946, 0.4271, 0.3392)  4 Na 3.05-3.31, 3 Pm 3.18-3.29
Te (0.8054, 0.5729, 0.6608)  4 Na 3.05-3.31, 3 Pm 3.18-3.29
Te (0.1946, 0.0729, 0.8392)  4 Na 3.05-3.31, 3 Pm 3.18-3.29



Record 3
The following is a DFT calculation (PBE-GGA) of Na2Pr2O5 after structural relaxation.

As for the space group: P4/mmm. As for the energy above the most stable polymorph in this dataset: 0 meV/atom. The electronic total energy comes out at -54.32 eV for the cell shown. The mass density is 4.248 g cm⁻³. As for the total moment: 0.222 μB per atom.

abc: 8.2887 4.3853 4.3853
angles: 90.00 90.00 90.00
Last column: nearest neighbours and their distance in Å.
Element x y z (fractional)
Na (0.0000, 0.0000, 0.0000)  8 O 2.50
Na (0.5000, 0.0000, 0.0000)  4 O 3.10
O (0.1450, 0.5000, 0.0000)  2 Pr 2.30, 1 O 2.40, 2 Na 2.50
O (0.8550, 0.5000, 0.0000)  2 Pr 2.30, 1 O 2.40, 2 Na 2.50
O (0.1450, 0.0000, 0.5000)  2 Pr 2.30, 1 O 2.40, 2 Na 2.50
O (0.8550, 0.0000, 0.5000)  2 Pr 2.30, 1 O 2.40, 2 Na 2.50
O (0.5000, 0.5000, 0.5000)  2 Pr 2.25
Pr (0.2281, 0.5000, 0.5000)  5 O 2.25-2.30
Pr (0.7719, 0.5000, 0.5000)  5 O 2.25-2.30



Record 4
The following is a DFT calculation (PBE-GGA) of Na2Pr2O5 after structural relaxation.

As for the space group: P4/mmm. As for the energy above the most stable polymorph in this dataset: 208 meV/atom. The electronic total energy comes out at -52.45 eV for the cell shown. The mass density is 5.750 g cm⁻³. As for the total moment: 0.222 μB per atom.

abc: 6.9206 4.1253 4.1253
angles: 90.00 90.00 90.00
Last column: nearest neighbours and their distance in Å.
Element x y z (fractional)
Na (0.2016, 0.5000, 0.5000)  5 O 2.07
Na (0.7984, 0.5000, 0.5000)  5 O 2.07
O (0.2185, 0.5000, 0.0000)  2 Na 2.07
O (0.7815, 0.5000, 0.0000)  2 Na 2.07
O (0.2185, 0.0000, 0.5000)  2 Na 2.07
O (0.7815, 0.0000, 0.5000)  2 Na 2.07
O (0.5000, 0.5000, 0.5000)  2 Na 2.07
Pr (0.0000, 0.0000, 0.0000)  8 O 2.56
Pr (0.5000, 0.0000, 0.0000)  12 O 2.84-2.92



Record 5
The following is a DFT calculation (PBE-GGA) of Na2PrO3 after structural relaxation.

As for the space group: C2/c. The electronic total energy comes out at -135.85 eV for the cell shown. The mass density is 4.458 g cm⁻³. As for the total moment: 0.166 μB per atom.

abc: 5.9620 5.9620 11.0278
angles: 100.26 100.26 110.04
Last column: nearest neighbours and their distance in Å.
Element x y z (fractional)
Na (0.0474, 0.7958, 0.0949)  6 O 2.43-2.57
Na (0.1208, 0.3714, 0.2419)  6 O 2.45-2.57
Na (0.6286, 0.8792, 0.2581)  6 O 2.45-2.57
Na (0.2042, 0.9526, 0.4051)  6 O 2.43-2.57
Na (0.7958, 0.0474, 0.5949)  6 O 2.43-2.57
Na (0.3714, 0.1208, 0.7419)  6 O 2.45-2.57
Na (0.8792, 0.6286, 0.7581)  6 O 2.45-2.57
Na (0.9526, 0.2042, 0.9051)  6 O 2.43-2.57
O (0.7761, 0.0478, 0.0746)  2 Pr 2.34-2.38, 4 Na 2.45-2.57
O (0.3017, 0.5312, 0.0754)  2 Pr 2.34-2.38, 4 Na 2.46-2.55
O (0.8589, 0.6093, 0.2496)  2 Pr 2.36-2.37, 4 Na 2.43-2.45
O (0.3907, 0.1411, 0.2504)  2 Pr 2.36-2.37, 4 Na 2.43-2.45
O (0.4688, 0.6983, 0.4246)  2 Pr 2.34-2.38, 4 Na 2.46-2.55
O (0.9522, 0.2239, 0.4254)  2 Pr 2.34-2.38, 4 Na 2.45-2.57
O (0.0478, 0.7761, 0.5746)  2 Pr 2.34-2.38, 4 Na 2.45-2.57
O (0.5312, 0.3017, 0.5754)  2 Pr 2.34-2.38, 4 Na 2.46-2.55
O (0.6093, 0.8589, 0.7496)  2 Pr 2.36-2.37, 4 Na 2.43-2.45
O (0.1411, 0.3907, 0.7504)  2 Pr 2.36-2.37, 4 Na 2.43-2.45
O (0.6983, 0.4688, 0.9246)  2 Pr 2.34-2.38, 4 Na 2.46-2.55
O (0.2239, 0.9522, 0.9254)  2 Pr 2.34-2.38, 4 Na 2.45-2.57
Pr (0.5403, 0.2913, 0.0842)  6 O 2.34-2.38
Pr (0.7087, 0.4597, 0.4158)  6 O 2.34-2.38
Pr (0.2913, 0.5403, 0.5842)  6 O 2.34-2.38
Pr (0.4597, 0.7087, 0.9158)  6 O 2.34-2.38



Record 6
The following is a DFT calculation (PBE-GGA) of Na2PrO3 after structural relaxation.

As for the space group: C2/c. The electronic total energy comes out at -135.97 eV for the cell shown. The mass density is 4.416 g cm⁻³. As for the total moment: 0.167 μB per atom.

abc: 6.0758 6.0758 11.1980
angles: 95.20 95.20 119.68
Last column: nearest neighbours and their distance in Å.
Element x y z (fractional)
Na (0.0000, 0.0000, 0.0000)  6 O 2.39-2.56
Na (0.3425, 0.6893, 0.0003)  6 O 2.45-2.55
Na (0.4179, 0.0821, 0.2500)  6 O 2.50-2.51
Na (0.8107, 0.1575, 0.4997)  6 O 2.45-2.55
Na (0.5000, 0.5000, 0.5000)  6 O 2.39-2.56
Na (0.1893, 0.8425, 0.5003)  6 O 2.45-2.55
Na (0.5821, 0.9179, 0.7500)  6 O 2.50-2.51
Na (0.6575, 0.3107, 0.9997)  6 O 2.45-2.55
O (0.3759, 0.3930, 0.1306)  2 Pr 2.36-2.39, 4 Na 2.49-2.55
O (0.7293, 0.0428, 0.1311)  2 Pr 2.37-2.38, 4 Na 2.39-2.50
O (0.0293, 0.6911, 0.1324)  2 Pr 2.36-2.37, 4 Na 2.50-2.56
O (0.8089, 0.4707, 0.3676)  2 Pr 2.36-2.37, 4 Na 2.50-2.56
O (0.4572, 0.7707, 0.3689)  2 Pr 2.37-2.38, 4 Na 2.39-2.50
O (0.1070, 0.1241, 0.3694)  2 Pr 2.36-2.39, 4 Na 2.49-2.55
O (0.8930, 0.8759, 0.6306)  2 Pr 2.36-2.39, 4 Na 2.49-2.55
O (0.5428, 0.2293, 0.6311)  2 Pr 2.37-2.38, 4 Na 2.39-2.50
O (0.1911, 0.5293, 0.6324)  2 Pr 2.36-2.37, 4 Na 2.50-2.56
O (0.9707, 0.3089, 0.8676)  2 Pr 2.36-2.37, 4 Na 2.50-2.56
O (0.2707, 0.9572, 0.8689)  2 Pr 2.37-2.38, 4 Na 2.39-2.50
O (0.6241, 0.6070, 0.8694)  2 Pr 2.36-2.39, 4 Na 2.49-2.55
Pr (0.0852, 0.4148, 0.2500)  6 O 2.36-2.38
Pr (0.7507, 0.7493, 0.2500)  6 O 2.37-2.39
Pr (0.9148, 0.5852, 0.7500)  6 O 2.36-2.38
Pr (0.2493, 0.2507, 0.7500)  6 O 2.37-2.39



Record 7
The following is a DFT calculation (PBE-GGA) of NaPrSi6O14 after structural relaxation.

As for the space group: Ibam. The electronic total energy comes out at -680.97 eV for the cell shown. The mass density is 3.213 g cm⁻³. As for the total moment: 0.000 μB per atom.

abc: 13.0297 13.0297 13.0297
angles: 145.93 107.76 82.33
Last column: nearest neighbours and their distance in Å.
Element x y z (fractional)
Na (0.2500, 0.2500, 0.0000)  4 O 2.34
Na (0.7500, 0.7500, 0.0000)  4 O 2.34
Na (0.5000, 0.0000, 0.5000)  8 O 2.52-2.59
Na (0.0000, 0.5000, 0.5000)  8 O 2.52-2.59
O (0.4354, 0.2326, 0.0284)  1 Si 1.57
O (0.7958, 0.5930, 0.0284)  1 Si 1.57
O (0.2706, 0.7611, 0.0317)  2 Si 1.62
O (0.6144, 0.0730, 0.0604)  1 Si 1.59
O (0.9875, 0.4460, 0.0604)  1 Si 1.59
O (0.1342, 0.9690, 0.1032)  2 Si 1.61-1.62
O (0.6342, 0.5310, 0.1653)  2 Si 1.61-1.62
O (0.3604, 0.6945, 0.1819)  2 Si 1.62-1.65
O (0.4874, 0.8214, 0.1819)  2 Si 1.62-1.65
O (0.2958, 0.2674, 0.2028)  1 Si 1.57
O (0.9354, 0.9070, 0.2028)  1 Si 1.57
O (0.8122, 0.2735, 0.2142)  2 Si 1.62-1.65
O (0.9407, 0.4020, 0.2142)  2 Si 1.62-1.65
O (0.8050, 0.1159, 0.2636)  2 Si 1.62-1.64
O (0.1477, 0.4586, 0.2636)  2 Si 1.62-1.64
O (0.5371, 0.1083, 0.3089)  2 Si 1.66
O (0.2006, 0.7719, 0.3089)  2 Si 1.66
O (0.3523, 0.6159, 0.3109)  2 Si 1.62-1.64
O (0.6950, 0.9586, 0.3109)  2 Si 1.62-1.64
O (0.0126, 0.1945, 0.3340)  2 Si 1.62-1.65
O (0.1396, 0.3214, 0.3340)  2 Si 1.62-1.65
O (0.7006, 0.3917, 0.4288)  2 Si 1.66
O (0.0371, 0.7281, 0.4288)  2 Si 1.66
O (0.5125, 0.5730, 0.4585)  1 Si 1.59
O (0.8856, 0.9460, 0.4585)  1 Si 1.59
O (0.5593, 0.7735, 0.4613)  2 Si 1.62-1.65
O (0.6878, 0.9020, 0.4613)  2 Si 1.62-1.65
O (0.2294, 0.2611, 0.4905)  2 Si 1.62
O (0.7706, 0.7389, 0.5095)  2 Si 1.62
O (0.3122, 0.0980, 0.5387)  2 Si 1.62-1.65
O (0.4407, 0.2265, 0.5387)  2 Si 1.62-1.65
O (0.1144, 0.0540, 0.5415)  1 Si 1.59
O (0.4875, 0.4270, 0.5415)  1 Si 1.59
O (0.9629, 0.2719, 0.5712)  2 Si 1.66
O (0.2994, 0.6083, 0.5712)  2 Si 1.66
O (0.8604, 0.6786, 0.6660)  2 Si 1.62-1.65
O (0.9874, 0.8055, 0.6660)  2 Si 1.62-1.65
O (0.3050, 0.0414, 0.6891)  2 Si 1.62-1.64
O (0.6477, 0.3841, 0.6891)  2 Si 1.62-1.64
O (0.7994, 0.2281, 0.6911)  2 Si 1.66
O (0.4629, 0.8917, 0.6911)  2 Si 1.66
O (0.8523, 0.5414, 0.7364)  2 Si 1.62-1.64
O (0.1950, 0.8841, 0.7364)  2 Si 1.62-1.64
O (0.0593, 0.5980, 0.7858)  2 Si 1.62-1.65
O (0.1878, 0.7265, 0.7858)  2 Si 1.62-1.65
O (0.0646, 0.0930, 0.7972)  1 Si 1.57
O (0.7042, 0.7326, 0.7972)  1 Si 1.57
O (0.5126, 0.1786, 0.8181)  2 Si 1.62-1.65
O (0.6396, 0.3055, 0.8181)  2 Si 1.62-1.65
O (0.3658, 0.4690, 0.8347)  2 Si 1.61-1.62
O (0.8658, 0.0310, 0.8968)  2 Si 1.61-1.62
O (0.0125, 0.5540, 0.9396)  1 Si 1.59
O (0.3856, 0.9270, 0.9396)  1 Si 1.59
O (0.7294, 0.2389, 0.9683)  2 Si 1.62
O (0.2042, 0.4070, 0.9716)  1 Si 1.57
O (0.5646, 0.7674, 0.9716)  1 Si 1.57
Pr (0.4808, 0.2500, 0.2308)  6 O 2.33-2.47
Pr (0.9808, 0.7500, 0.2308)  6 O 2.33-2.47
Pr (0.0192, 0.2500, 0.7692)  6 O 2.33-2.47
Pr (0.5192, 0.7500, 0.7692)  6 O 2.33-2.47
Si (0.3683, 0.6802, 0.0485)  4 O 1.61-1.62
Si (0.8346, 0.2332, 0.0678)  4 O 1.62
Si (0.2746, 0.6114, 0.1813)  4 O 1.57-1.66
Si (0.5699, 0.9067, 0.1813)  4 O 1.57-1.66
Si (0.7320, 0.2017, 0.2297)  4 O 1.59-1.66
Si (0.0280, 0.4977, 0.2297)  4 O 1.59-1.66
Si (0.1317, 0.1802, 0.3120)  4 O 1.61-1.62
Si (0.9301, 0.1114, 0.3368)  4 O 1.57-1.66
Si (0.2254, 0.4067, 0.3368)  4 O 1.57-1.66
Si (0.6654, 0.7332, 0.3986)  4 O 1.62
Si (0.4720, 0.7017, 0.4697)  4 O 1.59-1.66
Si (0.7680, 0.9977, 0.4697)  4 O 1.59-1.66
Si (0.2320, 0.0023, 0.5303)  4 O 1.59-1.66
Si (0.5280, 0.2983, 0.5303)  4 O 1.59-1.66
Si (0.3346, 0.2668, 0.6014)  4 O 1.62
Si (0.7746, 0.5933, 0.6632)  4 O 1.57-1.66
Si (0.0699, 0.8886, 0.6632)  4 O 1.57-1.66
Si (0.8683, 0.8198, 0.6880)  4 O 1.61-1.62
Si (0.9720, 0.5023, 0.7703)  4 O 1.59-1.66
Si (0.2680, 0.7983, 0.7703)  4 O 1.59-1.66
Si (0.4301, 0.0933, 0.8187)  4 O 1.57-1.66
Si (0.7254, 0.3886, 0.8187)  4 O 1.57-1.66
Si (0.1654, 0.7668, 0.9322)  4 O 1.62
Si (0.6317, 0.3198, 0.9515)  4 O 1.61-1.62



Record 8
The following is a DFT calculation (PBE-GGA) of NaPrTeO after structural relaxation.

As for the space group: P4/nmm. As for the energy above the most stable polymorph in this dataset: 0 meV/atom. The electronic total energy comes out at -44.67 eV for the cell shown. The mass density is 5.478 g cm⁻³. As for the total moment: 0.000 μB per atom.

abc: 4.2923 4.2923 10.1191
angles: 90.00 90.00 90.00
Last column: nearest neighbours and their distance in Å.
Element x y z (fractional)
Na (0.7500, 0.2500, 0.5000)  4 Te 3.02, 4 Na 3.04
Na (0.2500, 0.7500, 0.5000)  4 Te 3.02, 4 Na 3.04
O (0.7500, 0.2500, 0.0000)  4 Pr 2.41
O (0.2500, 0.7500, 0.0000)  4 Pr 2.41
Pr (0.2500, 0.2500, 0.1075)  4 O 2.41
Pr (0.7500, 0.7500, 0.8925)  4 O 2.41
Te (0.7500, 0.7500, 0.2907)  4 Na 3.02
Te (0.2500, 0.2500, 0.7093)  4 Na 3.02



What is the total moment in the sixth record? 0.167 μB per atom



Number 1 is which compound? NaPmTeO